A plane-wave DFT calculation with PBE-GGA was carried out for a relaxed structure of CuPb5Br12.

The structure belongs to space group C2/m (No. 12); the cell edges are 7.745, 13.145 and 14.422 Å and the angles 90.00°, 93.47° and 90.00°. The asymmetric unit holds Cu at (0.000, 0.000, 0.000), Pb at (0.000, 0.166, 0.500), Pb at (0.000, 0.344, 0.000), Pb at (0.000, 0.500, 0.500), Br at (0.152, 0.133, 0.095), Br at (0.152, 0.500, 0.126), Br at (0.156, 0.000, 0.382) and Br at (0.156, 0.333, 0.382).

As for the spin magnetization: 0.055 μB per atom. As for the electronic total energy: -3.16 eV per atom.

=====

A plane-wave DFT calculation with PBE-GGA was carried out for a relaxed structure of Cu2PbBr.

The structure belongs to space group Immm (No. 71); the cell edges are 3.495, 5.949 and 8.387 Å and the angles 90.00°, 90.00° and 90.00°. The asymmetric unit holds Cu at (0.000, 0.000, 0.245), Pb at (0.000, 0.500, 0.000) and Br at (0.000, 0.500, 0.500).

For the offset from the most stable computed form, the calculation gives 263.2 meV per atom. As for the spin magnetization: 0.000 μB per atom. As for the electronic total energy: -3.07 eV per atom.

=====

A plane-wave DFT calculation with PBE-GGA was carried out for a relaxed structure of CuPb2Br.

The structure belongs to space group C2/m (No. 12); the cell edges are 6.803, 3.937 and 8.532 Å and the angles 90.00°, 105.40° and 90.00°. The asymmetric unit holds Cu at (0.000, 0.000, 0.000), Pb at (0.234, 0.500, 0.206) and Br at (0.000, 0.500, 0.500).

For the offset from the most stable computed form, the calculation gives 0.0 meV per atom. As for the spin magnetization: 0.000 μB per atom. As for the electronic total energy: -3.38 eV per atom.

=====

A plane-wave DFT calculation with PBE-GGA was carried out for a relaxed structure of CuPb2Br.

The structure belongs to space group C2/m (No. 12); the cell edges are 8.380, 8.214 and 3.361 Å and the angles 90.00°, 110.70° and 90.00°. The asymmetric unit holds Cu at (0.000, 0.000, 0.000), Pb at (0.250, 0.250, 0.500) and Br at (0.000, 0.500, 0.000).

For the offset from the most stable computed form, the calculation gives 156.6 meV per atom. As for the spin magnetization: 0.000 μB per atom. As for the electronic total energy: -3.22 eV per atom.

=====

A plane-wave DFT calculation with PBE-GGA was carried out for a relaxed structure of CuPb2Br.

The structure belongs to space group Cmm2 (No. 35); the cell edges are 3.663, 6.295 and 9.442 Å and the angles 90.00°, 90.00° and 90.00°. The asymmetric unit holds Cu at (0.000, 0.000, 0.000), Pb at (0.000, 0.000, 0.479), Pb at (0.000, 0.500, 0.783) and Br at (0.000, 0.500, 0.173).

For the offset from the most stable computed form, the calculation gives 75.5 meV per atom. As for the spin magnetization: 0.000 μB per atom. As for the electronic total energy: -3.31 eV per atom.

=====

A plane-wave DFT calculation with PBE-GGA was carried out for a relaxed structure of Cu2PbBr.

The structure belongs to space group I-4m2 (No. 119); the cell edges are 3.882, 3.882 and 11.474 Å and the angles 90.00°, 90.00° and 90.00°. The asymmetric unit holds Cu at (0.000, 0.000, 0.000), Cu at (0.000, 0.500, 0.250), Pb at (0.000, 0.500, 0.750) and Br at (0.000, 0.000, 0.500).

For the offset from the most stable computed form, the calculation gives 266.2 meV per atom. As for the spin magnetization: 0.000 μB per atom. As for the electronic total energy: -3.07 eV per atom.

=====

A plane-wave DFT calculation with PBE-GGA was carried out for a relaxed structure of Cu2PbBr.

The structure belongs to space group Imm2 (No. 44); the cell edges are 3.513, 3.690 and 14.404 Å and the angles 90.00°, 90.00° and 90.00°. The asymmetric unit holds Cu at (0.000, 0.000, 0.000), Cu at (0.000, 0.500, 0.108), Pb at (0.000, 0.000, 0.414) and Br at (0.000, 0.500, 0.686).

For the offset from the most stable computed form, the calculation gives 83.5 meV per atom. As for the spin magnetization: 0.000 μB per atom. As for the electronic total energy: -3.25 eV per atom.

=====

A plane-wave DFT calculation with PBE-GGA was carried out for a relaxed structure of Cu2PbBr4.

The structure belongs to space group P-1 (No. 2); the cell edges are 4.175, 7.346 and 7.523 Å and the angles 99.35°, 106.03° and 90.02°. The asymmetric unit holds Cu at (0.098, 0.043, 0.191), Pb at (0.500, 0.500, 0.000), Br at (0.129, 0.374, 0.258) and Br at (0.380, 0.109, 0.763).

For the offset from the most stable computed form, the calculation gives 0.0 meV per atom. As for the spin magnetization: 0.000 μB per atom. As for the electronic total energy: -3.17 eV per atom.

=====

A plane-wave DFT calculation with PBE-GGA was carried out for a relaxed structure of CuPbBr5.

The structure belongs to space group C2/c (No. 15); the cell edges are 11.702, 7.693 and 11.560 Å and the angles 90.00°, 110.74° and 90.00°. The asymmetric unit holds Cu at (0.250, 0.250, 0.000), Pb at (0.000, 0.086, 0.250), Br at (0.000, 0.269, 0.750), Br at (0.135, 0.312, 0.128) and Br at (0.209, 0.053, 0.505).

As for the spin magnetization: 0.000 μB per atom. As for the electronic total energy: -2.73 eV per atom.

=====

A plane-wave DFT calculation with PBE-GGA was carried out for a relaxed structure of Rb2Cu2PbBr6.

The structure belongs to space group C2/m (No. 12); the cell edges are 13.678, 7.974 and 8.253 Å and the angles 90.00°, 120.32° and 90.00°. The asymmetric unit holds Rb at (0.231, 0.000, 0.210), Cu at (0.043, 0.500, 0.191), Pb at (0.000, 0.000, 0.500), Br at (0.055, 0.251, 0.815) and Br at (0.246, 0.500, 0.351).

As for the spin magnetization: 0.001 μB per atom. As for the electronic total energy: -3.14 eV per atom.

=====

A plane-wave DFT calculation with PBE-GGA was carried out for a relaxed structure of RbCuPbBr5.

The structure belongs to space group C2/c (No. 15); the cell edges are 9.030, 13.306 and 10.850 Å and the angles 90.00°, 112.14° and 90.00°. The asymmetric unit holds Rb at (0.000, 0.160, 0.250), Cu at (0.000, 0.178, 0.750), Pb at (0.000, 0.500, 0.000), Br at (0.000, 0.415, 0.250), Br at (0.085, 0.287, 0.609) and Br at (0.154, 0.062, 0.923).

As for the spin magnetization: 0.075 μB per atom. As for the electronic total energy: -3.01 eV per atom.

=====

A plane-wave DFT calculation with PBE-GGA was carried out for a relaxed structure of RbCu4Pb3Br12.

The structure belongs to space group R32 (No. 155, hexagonal axes); the cell edges are 15.1960, 15.1960 and 11.4982 Å and the angles 90.00°, 90.00° and 120.00°. The asymmetric unit holds Rb at (0.0000, 0.0000, 0.0000), Cu at (0.0000, 0.0000, 0.5000), Cu at (0.0000, 0.4353, 0.5000), Pb at (0.0000, 0.5529, 0.0000), Br at (0.0000, 0.5948, 0.5000), Br at (0.0000, 0.8453, 0.5000) and Br at (0.0328, 0.2007, 0.1897).

As for the spin magnetization: 0.058 μB per atom. As for the electronic total energy: -3.11 eV per atom.

=====

Raw formation energy, record by record: -0.7868, 0.3233, -0.0843, 0.0722, -0.0088, 0.3263, 0.1437, -0.5168, -0.4185, -0.9733, -0.8648, -0.6873 eV/atom